Record 1
Here is Li2BeSi after structural relaxation from Alexandria via LeMat-Bulk. Energies are from GGA-PBEsol.

POSCAR file:
```
Li2BeSi
1.0
4.064 0.000 0.000
2.032 3.520 0.000
2.032 1.173 3.318
Li Si Be
2 1 1
Cartesian
2.032 1.173 0.830
6.096 3.520 2.489
4.064 2.346 1.659
0.000 0.000 0.000
```

E = -3.341 eV per atom
Space-group type = Fm-3m, No. 225
Formation energy without anion corrections = 79 meV/atom


Record 2
Here is LiBe2Si after structural relaxation from Alexandria via LeMat-Bulk. Energies are from GGA-PBEsol.

POSCAR file:
```
LiBe2Si
1.0
2.734 0.000 -0.022
0.000 3.811 0.000
-0.104 0.000 4.532
Li Be Si
1 2 1
Cartesian
1.315 1.906 2.255
2.585 0.000 3.343
0.044 0.000 1.167
0.000 1.906 0.000
```

E = -3.753 eV per atom
Space-group type = P2/m, No. 10
Formation energy without anion corrections = 175 meV/atom


Record 3
Here is Li2BeSi after structural relaxation from Alexandria via LeMat-Bulk. Energies are from GGA-PBEsol.

POSCAR file:
```
Li2BeSi
1.0
-3.444 1.741 1.158
-2.608 -2.031 2.304
-0.529 1.053 3.853
Si Li Be
1 2 1
Cartesian
-1.645 0.191 1.829
-4.936 0.572 5.486
0.000 0.000 0.000
-3.290 0.382 3.658
```

E = -3.600 eV per atom
Space-group type = F-43m, No. 216
Formation energy without anion corrections = -180 meV/atom


Record 4
Here is LiTa2BeSi after structural relaxation from Alexandria via LeMat-Bulk. Energies are from GGA-PBEsol.

POSCAR file:
```
LiTa2BeSi
1.0
3.874 0.000 0.000
0.000 4.368 0.000
0.000 0.000 4.368
Li Ta Si Be
1 2 1 1
Cartesian
1.937 0.000 0.000
0.000 0.000 2.184
0.000 2.184 0.000
1.937 2.184 2.184
0.000 0.000 0.000
```

E = -6.820 eV per atom
Space-group type = P4/mmm, No. 123
Formation energy without anion corrections = 544 meV/atom